Entry 1:
DyMgB14: relaxed, PBE-GGA.

Results
M_tot in μB/f.u.: 0.0
Total energy in eV per atom: -6.45
Volume in Å³/cell: 260.6
Theoretical density in g/cm³: 4.3
Space group: Imma, No. 74

Cell: 7.359 7.359 7.359 Å, 132.46 87.36 111.78°
Fractional coordinates of all 32 atoms:
1 Dy 0.391 0.141 0.250
2 Dy 0.609 0.859 0.750
3 Mg 0.000 0.000 0.500
4 Mg 0.000 0.500 0.000
5 B 0.011 0.875 0.136
6 B 0.031 0.206 0.329
7 B 0.031 0.702 0.825
8 B 0.087 0.670 0.416
9 B 0.197 0.530 0.667
10 B 0.222 0.502 0.401
11 B 0.222 0.821 0.721
12 B 0.240 0.875 0.364
13 B 0.246 0.330 0.916
14 B 0.364 0.530 0.833
15 B 0.377 0.206 0.675
16 B 0.377 0.702 0.171
17 B 0.400 0.179 0.901
18 B 0.400 0.498 0.221
19 B 0.600 0.502 0.779
20 B 0.600 0.821 0.099
21 B 0.623 0.298 0.829
22 B 0.623 0.794 0.325
23 B 0.636 0.470 0.167
24 B 0.754 0.670 0.084
25 B 0.760 0.125 0.636
26 B 0.778 0.179 0.279
27 B 0.778 0.498 0.599
28 B 0.803 0.470 0.333
29 B 0.913 0.330 0.584
30 B 0.969 0.298 0.175
31 B 0.969 0.794 0.671
32 B 0.989 0.125 0.864

***

Entry 2:
DyMgB4: relaxed, PBE-GGA.

Results
M_tot in μB/f.u.: 0.0
Total energy in eV per atom: -5.89
Volume in Å³/cell: 259.0
Theoretical density in g/cm³: 5.9
Space group: Pbam, No. 55

Cell: 6.052 11.706 3.655 Å, 90.00 90.00 90.00°
Fractional coordinates of all 24 atoms:
1 Dy 0.127 0.150 0.000
2 Dy 0.373 0.650 0.000
3 Dy 0.627 0.350 0.000
4 Dy 0.873 0.850 0.000
5 Mg 0.137 0.410 0.000
6 Mg 0.363 0.910 0.000
7 Mg 0.637 0.090 0.000
8 Mg 0.863 0.590 0.000
9 B 0.029 0.694 0.500
10 B 0.115 0.547 0.500
11 B 0.132 0.970 0.500
12 B 0.207 0.811 0.500
13 B 0.293 0.311 0.500
14 B 0.368 0.470 0.500
15 B 0.385 0.047 0.500
16 B 0.471 0.194 0.500
17 B 0.529 0.806 0.500
18 B 0.615 0.953 0.500
19 B 0.632 0.530 0.500
20 B 0.707 0.689 0.500
21 B 0.793 0.189 0.500
22 B 0.868 0.030 0.500
23 B 0.885 0.453 0.500
24 B 0.971 0.306 0.500

***

Entry 3:
DyMn5B3: relaxed, PBE-GGA.

Results
M_tot in μB/f.u.: 2.0
Total energy in eV per atom: -8.07
Volume in Å³/cell: 200.8
Theoretical density in g/cm³: 7.8
Space group: Cmcm, No. 63

Cell: 5.962 5.962 10.537 Å, 90.00 90.00 147.58°
Fractional coordinates of all 18 atoms:
1 Dy 0.168 0.832 0.750
2 Dy 0.832 0.168 0.250
3 Mn 0.000 0.000 0.000
4 Mn 0.000 0.000 0.500
5 Mn 0.193 0.807 0.056
6 Mn 0.193 0.807 0.444
7 Mn 0.450 0.550 0.649
8 Mn 0.450 0.550 0.851
9 Mn 0.550 0.450 0.149
10 Mn 0.550 0.450 0.351
11 Mn 0.807 0.193 0.556
12 Mn 0.807 0.193 0.944
13 B 0.138 0.862 0.250
14 B 0.378 0.622 0.050
15 B 0.378 0.622 0.450
16 B 0.622 0.378 0.550
17 B 0.622 0.378 0.950
18 B 0.862 0.138 0.750

***

Entry 4:
DyMnB14: relaxed, PBE-GGA.

Results
M_tot in μB/f.u.: 3.7
Total energy in eV per atom: -6.87
Volume in Å³/cell: 257.9
Theoretical density in g/cm³: 4.7
Space group: Imma, No. 74

Cell: 7.358 7.358 7.358 Å, 133.13 86.75 111.91°
Fractional coordinates of all 32 atoms:
1 Dy 0.378 0.128 0.250
2 Dy 0.622 0.872 0.750
3 Mn 0.000 0.000 0.500
4 Mn 0.000 0.500 0.000
5 B 0.000 0.130 0.870
6 B 0.000 0.870 0.130
7 B 0.031 0.205 0.330
8 B 0.031 0.701 0.826
9 B 0.086 0.670 0.416
10 B 0.198 0.532 0.667
11 B 0.223 0.501 0.402
12 B 0.223 0.821 0.722
13 B 0.240 0.870 0.370
14 B 0.245 0.330 0.916
15 B 0.365 0.532 0.833
16 B 0.375 0.205 0.674
17 B 0.375 0.701 0.170
18 B 0.400 0.179 0.902
19 B 0.400 0.499 0.222
20 B 0.600 0.501 0.778
21 B 0.600 0.821 0.098
22 B 0.625 0.299 0.830
23 B 0.625 0.795 0.326
24 B 0.635 0.468 0.167
25 B 0.755 0.670 0.084
26 B 0.760 0.130 0.630
27 B 0.777 0.179 0.278
28 B 0.777 0.499 0.598
29 B 0.802 0.468 0.333
30 B 0.914 0.330 0.584
31 B 0.969 0.299 0.174
32 B 0.969 0.795 0.670

***

Entry 5:
Dy3Mn3B8: relaxed, PBE-GGA.

Results
M_tot in μB/f.u.: 0.0
Total energy in eV per atom: -7.03
Volume in Å³/cell: 161.5
Theoretical density in g/cm³: 7.6
Space group: Immm, No. 71

Cell: 7.766 7.766 7.766 Å, 156.43 119.67 65.69°
Fractional coordinates of all 14 atoms:
1 Dy 0.000 0.000 0.000
2 Dy 0.276 0.276 0.000
3 Dy 0.724 0.724 0.000
4 Mn 0.299 0.500 0.799
5 Mn 0.500 0.000 0.500
6 Mn 0.701 0.500 0.201
7 B 0.047 0.365 0.682
8 B 0.149 0.878 0.270
9 B 0.316 0.635 0.682
10 B 0.392 0.122 0.270
11 B 0.608 0.878 0.730
12 B 0.684 0.365 0.318
13 B 0.851 0.122 0.730
14 B 0.953 0.635 0.318

***

Entry 6:
Dy3Mn2B9: relaxed, PBE-GGA.

Results
M_tot in μB/f.u.: 0.2
Total energy in eV per atom: -6.88
Volume in Å³/cell: 157.3
Theoretical density in g/cm³: 7.3
Space group: Immm, No. 71

Cell: 7.784 7.784 7.784 Å, 156.90 121.16 64.08°
Fractional coordinates of all 14 atoms:
1 Dy 0.000 0.000 0.000
2 Dy 0.264 0.264 0.000
3 Dy 0.736 0.736 0.000
4 Mn 0.334 0.500 0.834
5 Mn 0.666 0.500 0.166
6 B 0.062 0.370 0.692
7 B 0.154 0.882 0.272
8 B 0.322 0.630 0.692
9 B 0.390 0.118 0.272
10 B 0.500 0.000 0.500
11 B 0.610 0.882 0.728
12 B 0.678 0.370 0.308
13 B 0.846 0.118 0.728
14 B 0.938 0.630 0.308

***

Entry 7:
DyMn4B4: relaxed, PBE-GGA.

Results
M_tot in μB/f.u.: 4.7
Total energy in eV per atom: -8.00
Volume in Å³/cell: 193.5
Theoretical density in g/cm³: 7.3
Space group: P4_2/n, No. 86

Cell: 7.021 7.021 3.925 Å, 90.00 90.00 90.00°
Fractional coordinates of all 18 atoms:
1 Dy 0.250 0.250 0.250
2 Dy 0.750 0.750 0.750
3 Mn 0.121 0.632 0.132
4 Mn 0.132 0.879 0.632
5 Mn 0.368 0.621 0.632
6 Mn 0.379 0.868 0.132
7 Mn 0.621 0.132 0.868
8 Mn 0.632 0.379 0.368
9 Mn 0.868 0.121 0.368
10 Mn 0.879 0.368 0.868
11 B 0.057 0.922 0.136
12 B 0.078 0.557 0.636
13 B 0.422 0.943 0.636
14 B 0.443 0.578 0.136
15 B 0.557 0.422 0.864
16 B 0.578 0.057 0.364
17 B 0.922 0.443 0.364
18 B 0.943 0.078 0.864

***

Entry 8:
DyMn10B2: relaxed, PBE-GGA.

Results
M_tot in μB/f.u.: 0.2
Total energy in eV per atom: -8.50
Volume in Å³/cell: 286.1
Theoretical density in g/cm³: 8.5
Space group: Cmcm, No. 63

Cell: 6.070 6.070 7.819 Å, 90.00 90.00 96.87°
Fractional coordinates of all 26 atoms:
1 Dy 0.120 0.880 0.750
2 Dy 0.880 0.120 0.250
3 Mn 0.115 0.387 0.750
4 Mn 0.178 0.822 0.098
5 Mn 0.178 0.822 0.402
6 Mn 0.223 0.223 0.000
7 Mn 0.223 0.223 0.500
8 Mn 0.257 0.471 0.250
9 Mn 0.386 0.614 0.560
10 Mn 0.386 0.614 0.940
11 Mn 0.387 0.115 0.250
12 Mn 0.471 0.257 0.750
13 Mn 0.529 0.743 0.250
14 Mn 0.613 0.885 0.750
15 Mn 0.614 0.386 0.060
16 Mn 0.614 0.386 0.440
17 Mn 0.743 0.529 0.750
18 Mn 0.777 0.777 0.000
19 Mn 0.777 0.777 0.500
20 Mn 0.822 0.178 0.598
21 Mn 0.822 0.178 0.902
22 Mn 0.885 0.613 0.250
23 B 0.000 0.500 0.000
24 B 0.000 0.500 0.500
25 B 0.500 0.000 0.000
26 B 0.500 0.000 0.500